Entry 1:
Computed, not measured: a relaxed structure of NbAsSeBr2 at the GGA-PBE level of DFT.

POSCAR file:
```
NbAsSeBr2
1.0
-2.491 3.552 -2.727
-3.961 -3.204 -0.554
-2.166 1.907 4.462
As Se Br Nb
1 1 2 1
direct
0.000 0.000 0.000
0.000 0.000 0.500
0.500 0.000 0.000
0.000 0.500 0.000
0.500 0.500 0.500
```

Summary:
M_tot: 0.693 μB per atom
Relative energy among the computed polymorphs: 2.826 eV per formula unit
Fermi-level density of states: 8.17 states/eV/cell
Electronic total energy: -3.58 eV per atom

=====

Entry 2:
Computed, not measured: a relaxed structure of NbAsSeBr2 at the GGA-PBE level of DFT.

POSCAR file:
```
NbAsSeBr2
1.0
-4.753 1.607 -1.019
-1.722 -4.799 0.461
-0.839 0.797 5.168
Se Nb As Br
1 1 1 2
direct
0.000 0.000 0.000
0.500 0.500 0.500
0.000 0.000 0.500
0.500 0.000 0.000
0.000 0.500 0.000
```

Summary:
M_tot: 0.573 μB per atom
Relative energy among the computed polymorphs: 4.336 eV per formula unit
Fermi-level density of states: 6.83 states/eV/cell
Electronic total energy: -3.28 eV per atom

=====

Entry 3:
Computed, not measured: a relaxed structure of NbSnAs2Br at the GGA-PBE level of DFT.

POSCAR file:
```
NbSnAs2Br
1.0
-3.996 -2.977 -0.890
1.162 -2.777 4.069
-2.960 3.090 2.954
Br As Nb Sn
1 2 1 1
direct
0.000 0.000 0.500
0.000 0.500 0.000
0.500 0.000 0.000
0.000 0.000 0.000
0.500 0.500 0.500
```

Summary:
M_tot: 0.000 μB per atom
Relative energy among the computed polymorphs: 0.000 eV per formula unit
Fermi-level density of states: 2.24 states/eV/cell
Electronic total energy: -4.88 eV per atom

=====

Entry 4:
Computed, not measured: a relaxed structure of NbSnAs2Br at the GGA-PBE level of DFT.

POSCAR file:
```
NbSnAs2Br
1.0
5.192 0.000 0.000
0.000 5.192 0.000
0.000 0.000 5.331
As Br Nb Sn
2 1 1 1
direct
0.000 0.500 0.000
0.500 0.000 0.000
0.000 0.000 0.500
0.500 0.500 0.500
0.000 0.000 0.000
```

Summary:
M_tot: 0.446 μB per atom
Relative energy among the computed polymorphs: 4.757 eV per formula unit
Fermi-level density of states: 4.29 states/eV/cell
Electronic total energy: -3.93 eV per atom

=====

Entry 5:
Computed, not measured: a relaxed structure of NbSnAsBr2 at the GGA-PBE level of DFT.

POSCAR file:
```
NbSnAsBr2
1.0
5.162 0.000 0.000
0.000 5.162 0.000
0.000 0.000 5.181
Nb Br Sn As
1 2 1 1
direct
0.000 0.000 0.000
0.000 0.500 0.000
0.500 0.000 0.000
0.500 0.500 0.500
0.000 0.000 0.500
```

Summary:
M_tot: 0.107 μB per atom
Relative energy among the computed polymorphs: 0.000 eV per formula unit
Fermi-level density of states: 4.24 states/eV/cell
Electronic total energy: -4.35 eV per atom

=====

Entry 6:
Computed, not measured: a relaxed structure of SrNbAsBr2 at the GGA-PBE level of DFT.

POSCAR file:
```
SrNbAsBr2
1.0
-4.371 -2.825 0.867
0.767 -2.580 -4.538
2.777 -3.536 2.480
Nb Br Sr As
1 2 1 1
direct
0.000 0.000 0.000
0.500 0.000 0.000
0.000 0.500 0.000
0.500 0.500 0.500
0.000 0.000 0.500
```

Summary:
M_tot: 0.247 μB per atom
Relative energy among the computed polymorphs: 0.000 eV per formula unit
Fermi-level density of states: 3.34 states/eV/cell
Electronic total energy: -4.59 eV per atom

=====

Entry 7:
Computed, not measured: a relaxed structure of SrNbAsBr2 at the GGA-PBE level of DFT.

POSCAR file:
```
SrNbAsBr2
1.0
5.624 0.000 0.000
0.000 5.624 0.000
0.000 0.000 6.195
Nb As Sr Br
1 1 1 2
direct
0.500 0.500 0.500
0.000 0.000 0.500
0.000 0.000 0.000
0.000 0.500 0.000
0.500 0.000 0.000
```

Summary:
M_tot: 0.399 μB per atom
Relative energy among the computed polymorphs: 5.180 eV per formula unit
Fermi-level density of states: 7.09 states/eV/cell
Electronic total energy: -3.55 eV per atom

=====

Entry 8:
Computed, not measured: a relaxed structure of TaNbAsBr2 at the GGA-PBE level of DFT.

POSCAR file:
```
TaNbAsBr2
1.0
5.035 0.000 0.000
0.000 5.035 0.000
0.000 0.000 5.208
Nb Br As Ta
1 2 1 1
direct
0.000 0.000 0.000
0.000 0.500 0.000
0.500 0.000 0.000
0.000 0.000 0.500
0.500 0.500 0.500
```

Summary:
M_tot: 0.817 μB per atom
Relative energy among the computed polymorphs: 0.944 eV per formula unit
Fermi-level density of states: 7.33 states/eV/cell
Electronic total energy: -4.98 eV per atom